1.
Below is Nd3Te2P after structural relaxation, with properties calculated at the PBE level.

abc: 7.5042 7.6215 7.6215
angles: 118.77 99.83 99.83
With the nearest neighbours (Å) after each atom.
Element x y z (fractional)
Nd (0.0041, 0.2181, 0.3621)  2 P 2.90-2.91, 2 Te 3.13-3.18
Nd (0.5041, 0.3621, 0.2181)  2 P 2.90-2.91, 2 Te 3.13-3.18
Nd (0.0000, 0.5000, 0.0000)  2 P 3.05, 4 Te 3.12-3.13
Nd (0.9959, 0.7819, 0.6379)  2 P 2.90-2.91, 2 Te 3.13-3.18
Nd (0.5000, 0.0000, 0.5000)  2 P 3.05, 4 Te 3.12-3.13
Nd (0.4959, 0.6379, 0.7819)  2 P 2.90-2.91, 2 Te 3.13-3.18
Te (0.2500, 0.9199, 0.0801)  6 Nd 3.13-3.36
Te (0.2500, 0.2399, 0.7601)  6 Nd 3.12-3.27
Te (0.7500, 0.0801, 0.9199)  6 Nd 3.13-3.36
Te (0.7500, 0.7601, 0.2399)  6 Nd 3.12-3.27
P (0.2500, 0.5888, 0.4112)  6 Nd 2.90-3.05
P (0.7500, 0.4112, 0.5888)  6 Nd 2.90-3.05

Properties
ΔE_f (raw)	-1.5012	eV per atom
crystal system	monoclinic
symmetry	C2/c
total moment	0.00	μB per cell

2.
Below is ZnBO2F after structural relaxation, with properties calculated at the PBE level.

abc: 3.5631 5.9163 5.5759
angles: 83.51 90.00 90.00
With the nearest neighbours (Å) after each atom.
Element x y z (fractional)
Zn (0.2500, 0.8048, 0.6255)  2 O 1.83-1.98
Zn (0.7500, 0.1952, 0.3745)  2 O 1.83-1.98
B (0.2500, 0.2862, 0.7893)  2 O 1.30-1.41, 1 F 1.40
B (0.7500, 0.7138, 0.2107)  2 O 1.30-1.41, 1 F 1.40
O (0.7500, 0.8582, 0.3958)  1 B 1.41
O (0.2500, 0.1418, 0.6042)  1 B 1.41
O (0.7500, 0.4928, 0.2404)  1 B 1.30
O (0.2500, 0.5072, 0.7596)  1 B 1.30
F (0.2500, 0.1696, 0.0225)  1 B 1.40
F (0.7500, 0.8304, 0.9775)  1 B 1.40

Properties
ΔE_f (raw)	-2.0314	eV per atom
crystal system	monoclinic
symmetry	P2_1/m
total moment	0.00	μB per cell

3.
Below is HoPu2HfN4 after structural relaxation, with properties calculated at the PBE level.

abc: 3.3881 5.8735 5.9126
angles: 109.59 90.00 90.00
With the nearest neighbours (Å) after each atom.
Element x y z (fractional)
Ho (0.5000, 0.5000, 0.0000)  6 N 2.41-2.42
Pu (0.5000, 0.0000, 0.5000)  6 N 2.39-2.42
Pu (0.0000, 0.5000, 0.5000)  6 N 2.49-2.53
Hf (0.0000, 0.0000, 0.0000)  6 N 2.28-2.31
N (0.5000, 0.2322, 0.2315)  2 Hf 2.31, 1 Ho 2.41, 3 Pu 2.42-2.49
N (0.5000, 0.7678, 0.7685)  2 Hf 2.31, 1 Ho 2.41, 3 Pu 2.42-2.49
N (0.0000, 0.2334, 0.7597)  1 Hf 2.28, 3 Pu 2.39-2.53, 2 Ho 2.42
N (0.0000, 0.7666, 0.2403)  1 Hf 2.28, 3 Pu 2.39-2.53, 2 Ho 2.42

Properties
ΔE_f (raw)	-1.5017	eV per atom
crystal system	monoclinic
symmetry	P2/m
total moment	0.44	μB per cell

4.
Below is ScSi2As after structural relaxation, with properties calculated at the PBE level.

abc: 3.0971 3.0971 7.5994
angles: 90.00 90.00 98.85
With the nearest neighbours (Å) after each atom.
Element x y z (fractional)
As (0.0000, 0.0000, 0.5154)  4 Sc 2.76-3.02
Sc (0.5000, 0.5000, 0.7646)  4 As 2.76-3.02, 4 Si 2.78-3.03
Si (0.0000, 0.0000, 0.0162)  4 Si 2.47-2.75
Si (0.5000, 0.5000, 0.2038)  4 Si 2.47-2.75

Properties
ΔE_f (raw)	-0.0293	eV per atom
crystal system	orthorhombic
symmetry	Cmm2
total moment	0.00	μB per cell

5.
Below is NaGe4Pd2 after structural relaxation, with properties calculated at the PBE level.

abc: 4.3999 6.9194 16.7648
angles: 90.00 90.00 90.00
With the nearest neighbours (Å) after each atom.
Element x y z (fractional)
Na (0.7500, 0.9691, 0.6440)  10 Ge 3.04-3.25, 4 Pd 3.26-3.27
Na (0.2500, 0.0309, 0.3560)  10 Ge 3.04-3.25, 4 Pd 3.26-3.27
Na (0.2500, 0.4691, 0.8560)  10 Ge 3.04-3.25, 4 Pd 3.26-3.27
Na (0.7500, 0.5309, 0.1440)  10 Ge 3.04-3.25, 4 Pd 3.26-3.27
Ge (0.2500, 0.2526, 0.6910)  3 Pd 2.60-2.67, 2 Ge 2.68-2.81
Ge (0.7500, 0.7474, 0.3090)  3 Pd 2.60-2.67, 2 Ge 2.68-2.81
Ge (0.7500, 0.7526, 0.8090)  3 Pd 2.60-2.67, 2 Ge 2.68-2.81
Ge (0.2500, 0.2474, 0.1910)  3 Pd 2.60-2.67, 2 Ge 2.68-2.81
Ge (0.2500, 0.6584, 0.6820)  4 Pd 2.66-2.70, 1 Ge 2.81
Ge (0.7500, 0.3416, 0.3180)  4 Pd 2.66-2.70, 1 Ge 2.81
Ge (0.7500, 0.1584, 0.8180)  4 Pd 2.66-2.70, 1 Ge 2.81
Ge (0.2500, 0.8416, 0.1820)  4 Pd 2.66-2.70, 1 Ge 2.81
Ge (0.2500, 0.1330, 0.5390)  3 Pd 2.59-2.60, 2 Ge 2.68-2.80
Ge (0.7500, 0.8670, 0.4610)  3 Pd 2.59-2.60, 2 Ge 2.68-2.80
Ge (0.7500, 0.6330, 0.9610)  3 Pd 2.59-2.60, 2 Ge 2.68-2.80
Ge (0.2500, 0.3670, 0.0390)  3 Pd 2.59-2.60, 2 Ge 2.68-2.80
Ge (0.2500, 0.4559, 0.4382)  4 Pd 2.58-2.71, 1 Ge 2.80
Ge (0.7500, 0.5441, 0.5618)  4 Pd 2.58-2.71, 1 Ge 2.80
Ge (0.7500, 0.9559, 0.0618)  4 Pd 2.58-2.71, 1 Ge 2.80
Ge (0.2500, 0.0441, 0.9382)  4 Pd 2.58-2.71, 1 Ge 2.80
Pd (0.2500, 0.7581, 0.5288)  7 Ge 2.58-2.71
Pd (0.7500, 0.2419, 0.4712)  7 Ge 2.58-2.71
Pd (0.7500, 0.2581, 0.9712)  7 Ge 2.58-2.71
Pd (0.2500, 0.7419, 0.0288)  7 Ge 2.58-2.71
Pd (0.2500, 0.9455, 0.7873)  7 Ge 2.60-2.70
Pd (0.7500, 0.0545, 0.2127)  7 Ge 2.60-2.70
Pd (0.7500, 0.4455, 0.7127)  7 Ge 2.60-2.70
Pd (0.2500, 0.5545, 0.2873)  7 Ge 2.60-2.70

Properties
crystal system	orthorhombic
energy of formation	-0.28	eV per atom
symmetry	Pnma
total moment	0.00	μB per cell

6.
Below is Na2LaSb2 after structural relaxation, with properties calculated at the PBE level.

abc: 9.0809 9.0809 3.6548
angles: 90.00 90.00 90.00
With the nearest neighbours (Å) after each atom.
Element x y z (fractional)
Sb (0.3208, 0.8208, 0.0000)  6 Na 3.16-3.32, 2 La 3.34
Sb (0.8208, 0.6792, 0.0000)  6 Na 3.16-3.32, 2 La 3.34
Sb (0.6792, 0.1792, 0.0000)  6 Na 3.16-3.32, 2 La 3.34
Sb (0.1792, 0.3208, 0.0000)  6 Na 3.16-3.32, 2 La 3.34
Na (0.1204, 0.6204, 0.5000)  1 Na 3.09, 6 Sb 3.16-3.32
Na (0.6204, 0.8796, 0.5000)  1 Na 3.09, 6 Sb 3.16-3.32
Na (0.8796, 0.3796, 0.5000)  1 Na 3.09, 6 Sb 3.16-3.32
Na (0.3796, 0.1204, 0.5000)  1 Na 3.09, 6 Sb 3.16-3.32
La (0.0000, 0.0000, 0.0000)  4 Sb 3.34, 2 La 3.65
La (0.5000, 0.5000, 0.0000)  4 Sb 3.34, 2 La 3.65

Properties
ΔE_f (raw)	-0.4510	eV per atom
crystal system	tetragonal
symmetry	P4/mbm
total moment	0.00	μB per cell

7.
Below is Dy2ThOs after structural relaxation, with properties calculated at the PBE level.

abc: 3.3762 3.3762 11.1867
angles: 81.32 81.32 60.00
With the nearest neighbours (Å) after each atom.
Element x y z (fractional)
Os (0.5000, 0.5000, 0.5000)  6 Dy 2.84
Th (0.0000, 0.0000, 0.0000)  6 Th 3.38, 2 Dy 3.45
Dy (0.1044, 0.1044, 0.6869)  3 Os 2.84
Dy (0.8956, 0.8956, 0.3131)  3 Os 2.84

Properties
crystal system	trigonal
energy of formation	0.29	eV per atom
symmetry	R-3m
total moment	0.00	μB per cell

8.
Below is Sc3ReB after structural relaxation, with properties calculated at the PBE level.

abc: 4.5240 4.5240 4.5240
angles: 90.00 90.00 90.00
With the nearest neighbours (Å) after each atom.
Element x y z (fractional)
Sc (0.0000, 0.5000, 0.0000)  2 B 2.26
Sc (0.0000, 0.0000, 0.5000)  2 B 2.26
Sc (0.5000, 0.0000, 0.0000)  2 B 2.26
Re (0.5000, 0.5000, 0.5000)  12 Sc 3.20
B (0.0000, 0.0000, 0.0000)  6 Sc 2.26

Properties
crystal system	cubic
energy of formation	0.32	eV per atom
symmetry	Pm-3m
total moment	0.00	μB per cell

9.
Below is Cr3AgAs after structural relaxation, with properties calculated at the PBE level.

abc: 4.7728 4.7728 4.7728
angles: 90.00 90.00 90.00
With the nearest neighbours (Å) after each atom.
Element x y z (fractional)
Cr (0.0000, 0.5000, 0.0000)  2 As 2.39
Cr (0.0000, 0.0000, 0.5000)  2 As 2.39
Cr (0.5000, 0.0000, 0.0000)  2 As 2.39
As (0.0000, 0.0000, 0.0000)  6 Cr 2.39
Ag (0.5000, 0.5000, 0.5000)  12 Cr 3.37

Properties
crystal system	cubic
energy of formation	0.84	eV per atom
symmetry	Pm-3m
total moment	12.33	μB per cell

10.
Below is HoGa3NiRu after structural relaxation, with properties calculated at the PBE level.

abc: 5.2601 8.0918 6.6576
angles: 127.42 90.00 90.00
With the nearest neighbours (Å) after each atom.
Element x y z (fractional)
Ho (0.7500, 0.3056, 0.6112)  1 Ru 2.60, 3 Ni 2.90
Ho (0.2500, 0.6944, 0.3888)  1 Ru 2.60, 3 Ni 2.90
Ga (0.2500, 0.1806, 0.3612)  1 Ni 2.54, 1 Ru 2.54
Ga (0.0000, 0.2588, 0.0000)  2 Ni 2.50, 2 Ru 2.55, 2 Ga 2.63
Ga (0.5000, 0.7412, 0.0000)  2 Ni 2.50, 2 Ru 2.55, 2 Ga 2.63
Ga (0.5000, 0.2588, 0.0000)  2 Ni 2.50, 2 Ru 2.55, 2 Ga 2.63
Ga (0.0000, 0.7412, 0.0000)  2 Ni 2.50, 2 Ru 2.55, 2 Ga 2.63
Ga (0.7500, 0.8194, 0.6388)  1 Ni 2.54, 1 Ru 2.54
Ni (0.2500, 0.4204, 0.8408)  5 Ga 2.50-2.54
Ni (0.7500, 0.5796, 0.1592)  5 Ga 2.50-2.54
Ru (0.2500, 0.9407, 0.8815)  5 Ga 2.54-2.55, 1 Ho 2.60
Ru (0.7500, 0.0593, 0.1185)  5 Ga 2.54-2.55, 1 Ho 2.60

Properties
crystal system	orthorhombic
energy of formation	-0.27	eV per atom
symmetry	Cmcm
total moment	0.00	μB per cell

11.
Below is Be3C4 after structural relaxation, with properties calculated at the PBE level.

abc: 3.7989 3.7989 3.7989
angles: 90.00 90.00 90.00
With the nearest neighbours (Å) after each atom.
Element x y z (fractional)
Be (0.0000, 0.5000, 0.0000)  6 C 1.90
Be (0.0000, 0.0000, 0.5000)  6 C 1.90
Be (0.5000, 0.0000, 0.0000)  6 C 1.90
C (0.0000, 0.0000, 0.0000)  6 Be 1.90
C (0.0000, 0.5000, 0.5000)  4 Be 1.90
C (0.5000, 0.0000, 0.5000)  4 Be 1.90
C (0.5000, 0.5000, 0.0000)  4 Be 1.90

Properties
crystal system	cubic
energy of formation	1.86	eV per atom
symmetry	Pm-3m
total moment	0.00	μB per cell

12.
Below is Tl4AsSe4 after structural relaxation, with properties calculated at the PBE level.

abc: 7.7023 7.7023 7.8538
angles: 119.36 119.36 90.00
With the nearest neighbours (Å) after each atom.
Element x y z (fractional)
Tl (0.5000, 0.0000, 0.0000)  4 Se 3.19
Tl (0.0000, 0.5000, 0.0000)  4 Se 3.19
Tl (0.3335, 0.3335, 0.6670)  2 Se 3.04
Tl (0.6665, 0.6665, 0.3330)  2 Se 3.04
As (0.0000, 0.0000, 0.0000)  4 Se 2.50
Se (0.6837, 0.6837, 0.7362)  1 As 2.50
Se (0.3163, 0.9475, 0.2638)  1 As 2.50
Se (0.0525, 0.0525, 0.7362)  1 As 2.50
Se (0.9475, 0.3163, 0.2638)  1 As 2.50

Properties
ΔE_f (raw)	-0.2160	eV per atom
crystal system	tetragonal
symmetry	I-42m
total moment	0.00	μB per cell

13.
Below is Mg2TaW after structural relaxation, with properties calculated at the PBE level.

abc: 3.3932 3.3932 6.7502
angles: 90.00 90.00 90.00
With the nearest neighbours (Å) after each atom.
Element x y z (fractional)
Mg (0.0000, 0.0000, 0.9838)  1 Ta 2.98, 4 W 3.00, 4 Mg 3.03
Mg (0.5000, 0.5000, 0.2583)  8 Mg 3.03-3.39, 4 Ta 3.07, 1 W 3.09
Ta (0.0000, 0.0000, 0.5421)  4 W 2.67, 1 Mg 2.98
W (0.5000, 0.5000, 0.7158)  4 Ta 2.67

Properties
crystal system	tetragonal
energy of formation	0.27	eV per atom
symmetry	P4mm
total moment	0.00	μB per cell

14.
Below is Mn2CrPb after structural relaxation, with properties calculated at the PBE level.

abc: 4.0279 4.0279 9.7316
angles: 78.06 78.06 90.00
With the nearest neighbours (Å) after each atom.
Element x y z (fractional)
Pb (0.0000, 0.0000, 0.0000)  4 Mn 2.75, 4 Cr 2.85
Pb (0.7500, 0.2500, 0.5000)  4 Mn 2.75, 4 Cr 2.85
Cr (0.5000, 0.5000, 0.0000)  4 Mn 2.71, 4 Pb 2.85
Cr (0.2500, 0.7500, 0.5000)  4 Mn 2.71, 4 Pb 2.85
Mn (0.6135, 0.1250, 0.2500)  2 Cr 2.71, 2 Pb 2.75, 4 Mn 2.78-2.91
Mn (0.1365, 0.6250, 0.2500)  2 Cr 2.71, 2 Pb 2.75, 4 Mn 2.78-2.91
Mn (0.3750, 0.3865, 0.7500)  2 Cr 2.71, 2 Pb 2.75, 4 Mn 2.78-2.91
Mn (0.8750, 0.8635, 0.7500)  2 Cr 2.71, 2 Pb 2.75, 4 Mn 2.78-2.91

Properties
crystal system	tetragonal
energy of formation	0.81	eV per atom
symmetry	I-42d
total moment	8.12	μB per cell

15.
Below is ScVSb2W after structural relaxation, with properties calculated at the PBE level.

abc: 5.0862 4.5441 5.0862
angles: 90.00 90.00 90.00
With the nearest neighbours (Å) after each atom.
Element x y z (fractional)
Sc (0.5000, 0.5000, 0.5000)  8 Sb 3.41, 4 W 3.60
Sb (0.0000, 0.0000, 0.5000)  2 V 2.54
Sb (0.5000, 0.0000, 0.0000)  2 V 2.54
W (0.0000, 0.5000, 0.0000)  2 V 2.27
V (0.0000, 0.0000, 0.0000)  2 W 2.27, 4 Sb 2.54

Properties
ΔE_f (raw)	0.7739	eV per atom
crystal system	tetragonal
symmetry	P4/mmm
total moment	0.15	μB per cell

16.
Below is Nb2AlOs2 after structural relaxation, with properties calculated at the PBE level.

abc: 7.4511 7.4511 3.0861
angles: 90.00 90.00 90.00
With the nearest neighbours (Å) after each atom.
Element x y z (fractional)
Nb (0.1643, 0.6643, 0.5000)  6 Os 2.62-2.72
Nb (0.6643, 0.8357, 0.5000)  6 Os 2.62-2.72
Nb (0.8357, 0.3357, 0.5000)  6 Os 2.62-2.72
Nb (0.3357, 0.1643, 0.5000)  6 Os 2.62-2.72
Os (0.3650, 0.8650, 0.0000)  6 Nb 2.62-2.72, 1 Os 2.85, 2 Al 2.90
Os (0.8650, 0.6350, 0.0000)  6 Nb 2.62-2.72, 1 Os 2.85, 2 Al 2.90
Os (0.6350, 0.1350, 0.0000)  6 Nb 2.62-2.72, 1 Os 2.85, 2 Al 2.90
Os (0.1350, 0.3650, 0.0000)  6 Nb 2.62-2.72, 1 Os 2.85, 2 Al 2.90
Al (0.0000, 0.0000, 0.0000)  4 Os 2.90, 2 Al 3.09, 8 Nb 3.18
Al (0.5000, 0.5000, 0.0000)  4 Os 2.90, 2 Al 3.09, 8 Nb 3.18

Properties
crystal system	tetragonal
energy of formation	-0.06	eV per atom
symmetry	P4/mbm
total moment	0.00	μB per cell

17.
Below is InBiAsO5 after structural relaxation, with properties calculated at the PBE level.

abc: 6.0187 6.0187 7.8069
angles: 107.53 107.53 104.15
With the nearest neighbours (Å) after each atom.
Element x y z (fractional)
In (0.0000, 0.0000, 0.5000)  6 O 2.09-2.31
In (0.0000, 0.0000, 0.0000)  6 O 2.09-2.31
Bi (0.3048, 0.6952, 0.2500)  1 O 2.15
Bi (0.6952, 0.3048, 0.7500)  1 O 2.15
As (0.6895, 0.3105, 0.2500)  2 O 1.75
As (0.3105, 0.6895, 0.7500)  2 O 1.75
O (0.0782, 0.9218, 0.2500)  2 In 2.09, 1 Bi 2.15
O (0.9218, 0.0782, 0.7500)  2 In 2.09, 1 Bi 2.15
O (0.8912, 0.3454, 0.0965)  1 As 1.96
O (0.1088, 0.6546, 0.9035)  1 As 1.96
O (0.6546, 0.1088, 0.4035)  1 As 1.96
O (0.3454, 0.8912, 0.5965)  1 As 1.96
O (0.7573, 0.6113, 0.4190)  1 As 1.75
O (0.2427, 0.3887, 0.5810)  1 As 1.75
O (0.3887, 0.2427, 0.0810)  1 As 1.75
O (0.6113, 0.7573, 0.9190)  1 As 1.75

Properties
ΔE_f (raw)	-1.2081	eV per atom
crystal system	monoclinic
symmetry	C2/c
total moment	0.00	μB per cell